No. 1
{
  "formula": "YScCl4",
  "functional": "GGA-PBE",
  "state": "relaxed",
  "lattice": [[0.000, 4.154, 4.154], [4.154, 0.000, 4.154], [4.154, 4.154, 0.000]],
  "species": ["Y", "Sc", "Cl", "Cl", "Cl", "Cl"],
  "frac_coords": [[0.000, 0.000, 0.000], [0.750, 0.750, 0.750], [0.875, 0.375, 0.375], [0.375, 0.375, 0.875], [0.375, 0.875, 0.375], [0.375, 0.375, 0.375]],
  "de_polymorph_ev_per_fu": 9.50,
  "formation_energy_uncorrected_kj_per_mol_atoms": -25
}

***

No. 2
{
  "formula": "Na2TiMnSi",
  "functional": "GGA-PBE",
  "state": "relaxed",
  "lattice": [[-0.342, -5.116, -1.154], [4.549, -0.230, -0.327], [0.308, -1.175, 5.114]],
  "species": ["Na", "Na", "Si", "Mn", "Ti"],
  "frac_coords": [[0.000, 0.000, 0.500], [0.500, 0.000, 0.000], [0.000, 0.500, 0.000], [0.000, 0.000, 0.000], [0.500, 0.500, 0.500]],
  "formation_energy_uncorrected_kj_per_mol_atoms": 99
}

***

No. 3
{
  "formula": "Na2IN",
  "functional": "GGA-PBE",
  "state": "relaxed",
  "lattice": [[2.135, -4.276, -1.848], [-2.360, -2.651, -3.696], [1.931, -0.055, -4.746]],
  "species": ["I", "Na", "Na", "N"],
  "frac_coords": [[0.500, 0.500, 0.500], [0.250, 0.250, 0.250], [0.750, 0.750, 0.750], [0.000, 0.000, 0.000]],
  "de_polymorph_ev_per_fu": 0.45,
  "formation_energy_uncorrected_kj_per_mol_atoms": 30
}

***

No. 4
{
  "formula": "PuTl2Cl4F2",
  "functional": "GGA-PBE",
  "state": "relaxed",
  "lattice": [[-4.911, -0.336, -2.781], [1.207, -6.095, -3.189], [-2.548, -5.557, 3.376]],
  "species": ["Pu", "Tl", "Tl", "Cl", "Cl", "Cl", "Cl", "F", "F"],
  "frac_coords": [[0.500, 0.000, 0.000], [0.196, 0.677, 0.677], [0.804, 0.323, 0.323], [0.297, 0.640, 0.144], [0.703, 0.856, 0.360], [0.703, 0.360, 0.856], [0.297, 0.144, 0.640], [0.216, 0.136, 0.136], [0.784, 0.864, 0.864]],
  "formation_energy_uncorrected_kj_per_mol_atoms": -182
}

***

No. 5
{
  "formula": "PmMnAs2",
  "functional": "GGA-PBE",
  "state": "relaxed",
  "lattice": [[-1.167, -4.441, 1.757], [3.467, -3.457, 0.443], [1.554, -1.365, 4.460]],
  "species": ["As", "As", "Mn", "Pm"],
  "frac_coords": [[0.250, 0.250, 0.250], [0.750, 0.750, 0.750], [0.500, 0.500, 0.500], [0.000, 0.000, 0.000]],
  "de_polymorph_ev_per_fu": 1.62,
  "formation_enthalpy_0k_mev_per_atom": -387
}

***

No. 6
{
  "formula": "K2TlTcO6",
  "functional": "GGA-PBE",
  "state": "relaxed",
  "lattice": [[5.892, 0.000, 0.000], [2.946, 5.103, 0.000], [2.946, 1.702, 4.803]],
  "species": ["K", "K", "Tl", "Tc", "O", "O", "O", "O", "O", "O"],
  "frac_coords": [[0.566, 0.566, 0.302], [0.066, 0.066, 0.801], [0.816, 0.816, 0.551], [0.316, 0.316, 0.052], [0.543, 0.104, 0.280], [0.104, 0.073, 0.280], [0.072, 0.544, 0.280], [0.528, 0.560, 0.823], [0.560, 0.089, 0.824], [0.089, 0.528, 0.823]],
  "formation_energy_uncorrected_kj_per_mol_atoms": -119
}

***

No. 7
{
  "formula": "HfZrAg2",
  "functional": "GGA-PBE",
  "state": "relaxed",
  "lattice": [[4.285, 0.000, 0.000], [0.000, 4.300, 0.000], [0.000, 0.000, 4.300]],
  "species": ["Hf", "Zr", "Ag", "Ag"],
  "frac_coords": [[0.500, 0.000, 0.000], [0.500, 0.500, 0.500], [0.000, 0.000, 0.500], [0.000, 0.500, 0.000]],
  "de_polymorph_ev_per_fu": 0.59,
  "formation_enthalpy_0k_mev_per_atom": 36
}

***

No. 8
{
  "formula": "MgZrPb2",
  "functional": "GGA-PBE",
  "state": "relaxed",
  "lattice": [[5.510, 0.000, 0.000], [0.000, 3.289, -0.006], [0.000, 0.008, 5.484]],
  "species": ["Pb", "Pb", "Mg", "Zr"],
  "frac_coords": [[0.000, 0.125, 0.921], [0.500, 0.125, 0.327], [0.500, 0.624, 0.820], [0.000, 0.625, 0.432]],
  "formation_enthalpy_0k_mev_per_atom": -61
}

***

No. 9
{
  "formula": "Pu",
  "functional": "GGA-PBE",
  "state": "relaxed",
  "lattice": [[-2.935, -2.286, 2.581], [-0.836, -3.927, -4.428], [7.662, -7.450, 2.115]],
  "species": ["Pu", "Pu", "Pu", "Pu", "Pu", "Pu", "Pu", "Pu", "Pu", "Pu", "Pu", "Pu", "Pu", "Pu", "Pu", "Pu"],
  "frac_coords": [[0.750, 0.650, 0.537], [0.750, 0.335, 0.841], [0.250, 0.981, 0.618], [0.250, 0.350, 0.463], [0.250, 0.698, 0.928], [0.250, 0.135, 0.891], [0.750, 0.443, 0.363], [0.250, 0.250, 0.170], [0.750, 0.302, 0.072], [0.750, 0.107, 0.673], [0.750, 0.019, 0.382], [0.250, 0.557, 0.637], [0.750, 0.750, 0.830], [0.250, 0.665, 0.159], [0.750, 0.865, 0.109], [0.250, 0.893, 0.327]],
  "de_polymorph_ev_per_fu": 0.00,
  "formation_enthalpy_0k_mev_per_atom": 0
}

***

No. 10
{
  "formula": "Pu2GeS",
  "functional": "GGA-PBE",
  "state": "relaxed",
  "lattice": [[3.813, 0.000, 0.000], [0.000, 6.395, 0.000], [-1.906, 0.000, 8.218]],
  "species": ["Pu", "Pu", "Pu", "Pu", "Ge", "Ge", "S", "S"],
  "frac_coords": [[0.203, 0.250, 0.905], [0.797, 0.750, 0.095], [0.000, 0.500, 0.500], [0.000, 0.000, 0.500], [0.156, 0.750, 0.813], [0.844, 0.250, 0.187], [0.424, 0.750, 0.347], [0.576, 0.250, 0.653]],
  "de_polymorph_ev_per_fu": 1.22,
  "formation_energy_uncorrected_kj_per_mol_atoms": -72
}